VASP calculation (PBE+U) on crystalline SmV2AgO8 at its relaxed geometry.

It has space group P-3m1 (No. 164), with a = 5.9037 Å, b = 5.9037 Å, c = 6.2588 Å, α = 90.00°, β = 90.00° and γ = 120.00°. Symmetry generates all atoms from Sm at (0.0000, 0.0000, 0.0000), V at (0.3333, 0.6667, 0.6573), Ag at (0.0000, 0.0000, 0.5000), O at (0.1661, 0.3323, 0.7438) and O at (0.3333, 0.6667, 0.3957).

The density of states at the Fermi level comes out at 0.97 states/eV/f.u. Its energy is -6.885 eV/atom.